Crystalline Dy3Si6Rh2Au at its relaxed geometry. Source: Alexandria, functional GGA-PBE.

Cell: 5.296 5.296 9.137 Å, 90.00 90.00 120.00°
Sites, in units of the cell vectors:
Dy1 0.333 0.667 0.580
Dy2 0.000 0.000 0.000
Dy3 0.667 0.333 0.420
Au1 0.000 0.000 0.500
Rh1 0.667 0.333 0.939
Rh2 0.333 0.667 0.061
Si1 0.828 0.656 0.732
Si2 0.344 0.172 0.732
Si3 0.172 0.344 0.268
Si4 0.828 0.172 0.732
Si5 0.656 0.828 0.268
Si6 0.172 0.828 0.268

Calculated values
Total moment (μB/f.u.): 0.000
Volume (Å³/atom): 18.50
Energy relative to the elements, uncorrected (kcal/mol of atoms): -9.9

Crystalline CrAgSe2 at its relaxed geometry. Source: Alexandria, functional GGA-PBE.

Cell: 4.669 4.669 3.438 Å, 90.00 90.00 89.81°
Sites, in units of the cell vectors:
Cr1 0.000 0.500 0.500
Ag1 0.500 0.000 0.500
Se1 0.500 0.500 0.000
Se2 0.000 0.000 0.000

Calculated values
Total moment (μB/f.u.): 3.533
Volume (Å³/atom): 18.73
Energy relative to the elements, uncorrected (kcal/mol of atoms): 2.5

Crystalline Ac2PmZn3In4 at its relaxed geometry. Source: Alexandria, functional GGA-PBE.

Cell: 4.670 4.670 12.500 Å, 90.00 90.00 90.00°
Sites, in units of the cell vectors:
In1 0.000 0.000 0.000
In2 0.000 0.500 0.341
In3 0.500 0.500 0.000
In4 0.500 0.000 0.659
Ac1 0.000 0.500 0.771
Ac2 0.500 0.000 0.229
Zn1 0.000 0.500 0.128
Zn2 0.000 0.000 0.500
Zn3 0.500 0.000 0.872
Pm1 0.500 0.500 0.500

Calculated values
E_form (meV/atom): -331
Total moment (μB/f.u.): 0.000
Volume (Å³/atom): 27.26

Crystalline La2ZrAlB at its relaxed geometry. Source: Alexandria, functional GGA-PBE.

Cell: 5.607 5.065 5.607 Å, 90.00 90.00 90.00°
Sites, in units of the cell vectors:
Zr1 0.000 0.500 0.000
Al1 0.000 0.000 0.000
La1 0.000 0.000 0.500
La2 0.500 0.000 0.000
B1 0.500 0.500 0.500

Calculated values
E_form (meV/atom): 1180
Total moment (μB/f.u.): 0.025
Volume (Å³/atom): 31.85

Crystalline RbTl3Te2 at its relaxed geometry. Source: Alexandria, functional GGA-PBE.

Cell: 4.848 10.493 10.500 Å, 70.05 76.65 76.64°
Sites, in units of the cell vectors:
Tl1 0.681 0.510 0.128
Tl2 0.000 0.365 0.635
Tl3 0.681 0.128 0.511
Tl4 0.000 0.635 0.365
Tl5 0.319 0.872 0.489
Tl6 0.319 0.490 0.872
Te1 0.500 0.188 0.812
Te2 0.500 0.812 0.188
Te3 0.806 0.694 0.694
Te4 0.194 0.306 0.306
Rb1 0.879 0.121 0.121
Rb2 0.121 0.879 0.879

Calculated values
Total moment (μB/f.u.): 0.000
Volume (Å³/atom): 40.14
Energy relative to the elements, uncorrected (kcal/mol of atoms): -10.5

Crystalline AlCoRe at its relaxed geometry. Source: Alexandria, functional GGA-PBE.

Cell: 3.965 3.965 3.965 Å, 60.00 60.00 60.00°
Sites, in units of the cell vectors:
Re1 0.000 0.000 0.000
Al1 0.500 0.500 0.500
Co1 0.750 0.750 0.750

Calculated values
E_form (meV/atom): 57
Total moment (μB/f.u.): 0.661
Volume (Å³/atom): 14.70

Crystalline BeCoP3 at its relaxed geometry. Source: Alexandria, functional GGA-PBE.

Cell: 4.140 4.140 4.140 Å, 90.00 90.00 90.00°
Sites, in units of the cell vectors:
Co1 0.500 0.500 0.500
P1 0.000 0.000 0.500
P2 0.500 0.000 0.000
P3 0.000 0.500 0.000
Be1 0.000 0.000 0.000

Calculated values
E_form (meV/atom): 914
Total moment (μB/f.u.): 1.070
Volume (Å³/atom): 14.19

Crystalline BaTi2V at its relaxed geometry. Source: Alexandria, functional GGA-PBE.

Cell: 7.944 4.848 4.847 Å, 90.00 91.64 90.00°
Sites, in units of the cell vectors:
V1 0.145 0.500 0.040
V2 0.145 0.000 0.540
Ti1 0.830 0.000 0.537
Ti2 0.830 0.500 0.037
Ti3 0.018 0.500 0.526
Ti4 0.018 0.000 0.026
Ba1 0.463 0.000 0.110
Ba2 0.463 0.500 0.610

Calculated values
E_form (meV/atom): 541
Total moment (μB/f.u.): 0.000
Volume (Å³/atom): 23.32

Crystalline CsSrIn3 at its relaxed geometry. Source: Alexandria, functional GGA-PBE.

Cell: 6.395 6.395 6.395 Å, 90.00 90.00 90.00°
Sites, in units of the cell vectors:
Sr1 0.000 0.000 0.000
In1 0.000 0.000 0.500
In2 0.000 0.500 0.000
In3 0.500 0.000 0.000
Cs1 0.500 0.500 0.500

Calculated values
E_form (meV/atom): 326
Total moment (μB/f.u.): 0.002
Volume (Å³/atom): 52.31

Crystalline Ca2SiPd7 at its relaxed geometry. Source: Alexandria, functional GGA-PBE.

Cell: 6.715 6.715 6.715 Å, 60.00 60.00 60.00°
Sites, in units of the cell vectors:
Pd1 0.766 0.234 0.234
Pd2 0.234 0.766 0.766
Pd3 0.234 0.234 0.766
Pd4 0.500 0.500 0.500
Pd5 0.766 0.766 0.234
Pd6 0.234 0.766 0.234
Pd7 0.766 0.234 0.766
Ca1 0.750 0.750 0.750
Ca2 0.250 0.250 0.250
Si1 0.000 0.000 0.000

Calculated values
Total moment (μB/f.u.): 0.000
Volume (Å³/atom): 21.41
Energy relative to the elements, uncorrected (kcal/mol of atoms): -5.9

Crystalline Er3ReC3 at its relaxed geometry. Source: Alexandria, functional GGA-PBE.

Cell: 5.087 6.748 6.748 Å, 100.23 90.00 90.00°
Sites, in units of the cell vectors:
Er1 0.250 0.169 0.405
Er2 0.750 0.891 0.109
Er3 0.750 0.831 0.595
Er4 0.250 0.109 0.891
Er5 0.750 0.405 0.169
Er6 0.250 0.595 0.831
C1 0.250 0.831 0.588
C2 0.750 0.588 0.831
C3 0.750 0.123 0.877
C4 0.750 0.169 0.412
C5 0.250 0.877 0.123
C6 0.250 0.412 0.169
Re1 0.250 0.690 0.310
Re2 0.750 0.310 0.690

Calculated values
E_form (meV/atom): -417
Total moment (μB/f.u.): 0.261
Volume (Å³/atom): 16.28

Crystalline Sm2GaAu5 at its relaxed geometry. Source: Alexandria, functional GGA-PBE.

Cell: 6.448 6.448 6.252 Å, 121.28 121.28 89.60°
Sites, in units of the cell vectors:
Au1 0.261 0.261 0.973
Au2 0.707 0.264 0.972
Au3 0.264 0.707 0.971
Au4 0.761 0.761 0.521
Au5 0.712 0.712 0.974
Sm1 0.736 0.238 0.474
Sm2 0.238 0.736 0.474
Ga1 0.097 0.097 0.194

Calculated values
E_form (meV/atom): -535
Total moment (μB/f.u.): 0.000
Volume (Å³/atom): 22.15

Crystalline Ta at its relaxed geometry. Source: Alexandria, functional GGA-PBE.

Cell: 3.102 3.102 3.102 Å, 126.71 126.71 78.73°
Sites, in units of the cell vectors:
Ta1 0.000 0.000 0.000

Calculated values
E_form (meV/atom): 164
Total moment (μB/f.u.): 0.000
Volume (Å³/atom): 18.57

Crystalline LiAg2GeBi at its relaxed geometry. Source: Alexandria, functional GGA-PBE.

Cell: 4.711 4.976 4.711 Å, 90.00 90.00 90.00°
Sites, in units of the cell vectors:
Li1 0.000 0.000 0.000
Ag1 0.500 0.000 0.000
Ag2 0.000 0.000 0.500
Ge1 0.500 0.500 0.500
Bi1 0.000 0.500 0.000

Calculated values
E_form (meV/atom): 394
Total moment (μB/f.u.): 0.000
Volume (Å³/atom): 22.09

Crystalline LaCu2Ir at its relaxed geometry. Source: Alexandria, functional GGA-PBE.

Cell: 4.124 4.030 5.072 Å, 89.44 90.00 90.00°
Sites, in units of the cell vectors:
Ir1 0.000 0.253 0.529
Cu1 0.000 0.242 0.015
Cu2 0.500 0.256 0.247
La1 0.500 0.750 0.710

Calculated values
E_form (meV/atom): -136
Total moment (μB/f.u.): 0.000
Volume (Å³/atom): 21.07